DFT (SCAN) results for BaBeTe2 at its PBEsol-relaxed geometry.

Unit cell a=4.4230 b=3.8206 c=7.4609 alpha=90.00 beta=98.82 gamma=90.00
With the nearest neighbours (Å) after each atom.
Space group P2/m (No. 10)
Asymmetric unit:
Ba 0.0000 0.0000 0.0000 (multiplicity 1)  8 Te 3.57-3.58, 2 Ba 3.82
Be 0.5000 0.0000 0.5000 (multiplicity 1)  4 Te 2.57
Te 0.4295 0.5000 0.7212 (multiplicity 2)  2 Be 2.57

## Properties
E_tot = -121.4 eV/f.u.
formation energy without anion corrections = -756 meV per atom
spin magnetization = 0.0 μB/cell


DFT (SCAN) results for BaBeTe2 at its PBEsol-relaxed geometry.

Unit cell a=5.0563 b=4.2905 c=6.7021 alpha=90.00 beta=112.08 gamma=90.00
With the nearest neighbours (Å) after each atom.
Space group Pm (No. 6)
Asymmetric unit:
Ba 0.0000 0.0000 0.0000 (multiplicity 1)  7 Te 3.42-3.69, 4 Be 3.64-3.65
Be 0.6213 0.5000 0.2440 (multiplicity 1)  3 Te 2.35-2.44
Te 0.4333 0.5000 0.8661 (multiplicity 1)  1 Be 2.35
Te 0.7146 0.0000 0.4317 (multiplicity 1)  2 Be 2.44

## Properties
E_tot = -122.4 eV/f.u.
formation energy without anion corrections = -986 meV per atom
spin magnetization = 0.0 μB/cell


- What is the formation energy without anion corrections in the first record?
  -756 meV per atom


- E_tot of number 2 (BaBeTe2)?
  -122.4 eV/f.u.


- Look up the formation energy without anion corrections of the second one.
  -986 meV per atom